# 1
## ScBeHg (PBE)

Data for ScBeHg after structural relaxation.

a = 6.4049 Å, b = 6.4049 Å, c = 6.4049 Å
α = 90.00°, β = 90.00°, γ = 90.00°
Space group F-43m (No. 216)
Inequivalent atoms, fractional coordinates:
1 Sc 0.0000 0.0000 0.0000 [4 per cell]
2 Be 0.2500 0.2500 0.2500 [4 per cell]
3 Hg 0.2500 0.2500 0.7500 [4 per cell]

Output
ΔE to the lowest computed polymorph: 0.679 eV per atom
Energy relative to the elements: 0.505 eV/atom

# 2
## ScBeHg (PBE)

Data for ScBeHg after structural relaxation.

a = 6.0607 Å, b = 6.0607 Å, c = 6.0607 Å
α = 90.00°, β = 90.00°, γ = 90.00°
Space group F-43m (No. 216)
Inequivalent atoms, fractional coordinates:
1 Sc 0.0000 0.0000 0.0000 [4 per cell]
2 Be 0.2500 0.2500 0.2500 [4 per cell]
3 Hg 0.0000 0.0000 0.5000 [4 per cell]

Output
ΔE to the lowest computed polymorph: 0.161 eV per atom
Energy relative to the elements: -0.014 eV/atom

Asked for magnetic moment across the records above, the calculation gives 0.000; 0.000 μB per formula unit in order.